# 1
# Ba2CdPbS4

A relaxed Ba2CdPbS4 crystal (GGA-PBE, Alexandria via LeMat-Bulk).

```
Ba2CdPbS4
1.0
-4.291 4.337 6.127
4.291 -4.337 6.127
4.291 4.337 -6.127
Ba Cd Pb S
4 2 2 8
Direct
0.000 0.000 0.000
0.500 0.000 0.000
0.500 0.000 0.500
0.500 0.500 0.500
0.000 0.500 0.500
0.500 0.500 0.000
0.000 0.000 0.500
0.000 0.500 0.000
0.231 0.740 0.491
0.245 0.270 0.525
0.245 0.720 0.975
0.252 0.260 0.991
0.748 0.740 0.009
0.755 0.280 0.025
0.755 0.730 0.475
0.769 0.260 0.509
```

Values from the calculation:
Raw formation energy: -1.235 eV per atom
Symmetry: No. 74

# 2
# BaCdPb2S

A relaxed BaCdPb2S crystal (GGA-PBE, Alexandria via LeMat-Bulk).

```
BaCdPb2S
1.0
5.372 0.000 0.000
0.000 5.372 0.000
0.000 0.000 7.024
Ba Cd Pb S
1 1 2 1
Direct
0.000 0.000 0.000
0.000 0.000 0.500
0.000 0.500 0.500
0.500 0.000 0.500
0.500 0.500 0.000
```

Values from the calculation:
DOS(E_F): 3.0 states/eV/f.u.
Raw formation energy: 0.112 eV per atom
Symmetry: No. 123

# 3
# BaCdPb2Se4

A relaxed BaCdPb2Se4 crystal (GGA-PBE, Alexandria via LeMat-Bulk).

```
BaCdPb2Se4
1.0
2.205 -7.410 0.000
2.205 7.410 0.000
0.000 0.000 15.320
Ba Cd Pb Se
2 2 4 8
Direct
0.121 0.879 0.750
0.879 0.121 0.250
0.151 0.849 0.250
0.849 0.151 0.750
0.371 0.629 0.550
0.371 0.629 0.950
0.629 0.371 0.050
0.629 0.371 0.450
0.000 0.000 0.000
0.000 0.000 0.500
0.272 0.728 0.121
0.272 0.728 0.379
0.452 0.548 0.750
0.548 0.452 0.250
0.728 0.272 0.621
0.728 0.272 0.879
```

Values from the calculation:
Raw formation energy: -0.899 eV per atom
Symmetry: No. 63

# 4
# Ba2CdPbSe4

A relaxed Ba2CdPbSe4 crystal (GGA-PBE, Alexandria via LeMat-Bulk).

```
Ba2CdPbSe4
1.0
-4.451 4.500 6.358
4.451 -4.500 6.358
4.451 4.500 -6.358
Ba Cd Pb Se
4 2 2 8
Direct
0.000 0.000 0.000
0.500 0.000 0.000
0.500 0.000 0.500
0.500 0.500 0.500
0.000 0.500 0.500
0.500 0.500 0.000
0.000 0.000 0.500
0.000 0.500 0.000
0.230 0.739 0.490
0.244 0.270 0.526
0.244 0.718 0.974
0.251 0.261 0.990
0.749 0.739 0.010
0.756 0.282 0.026
0.756 0.730 0.474
0.770 0.261 0.510
```

Values from the calculation:
Raw formation energy: -1.225 eV per atom
Symmetry: No. 74

# 5
# Ba2CdPbSe

A relaxed Ba2CdPbSe crystal (GGA-PBE, Alexandria via LeMat-Bulk).

```
Ba2CdPbSe
1.0
6.639 0.000 0.000
0.000 6.639 0.000
0.000 0.000 5.751
Ba Cd Pb Se
2 1 1 1
Direct
0.000 0.500 0.000
0.500 0.000 0.000
0.000 0.000 0.500
0.500 0.500 0.000
0.500 0.500 0.500
```

Values from the calculation:
DOS(E_F): 4.7 states/eV/f.u.
Raw formation energy: -0.135 eV per atom
Symmetry: No. 123

# 6
# Ba2Cd4Sn3Pb

A relaxed Ba2Cd4Sn3Pb crystal (GGA-PBE, Alexandria via LeMat-Bulk).

```
Ba2Cd4Sn3Pb
1.0
4.989 0.000 0.000
0.000 4.989 0.000
0.000 0.000 12.310
Ba Cd Sn Pb
2 4 3 1
Direct
0.000 0.500 0.242
0.500 0.000 0.758
0.000 0.000 0.000
0.000 0.500 0.639
0.500 0.000 0.361
0.500 0.500 0.000
0.000 0.500 0.869
0.500 0.000 0.131
0.500 0.500 0.500
0.000 0.000 0.500
```

Values from the calculation:
Formation enthalpy at 0 K: -3.96 eV per formula unit
DOS(E_F): 2.7 states/eV/f.u.
Symmetry: No. 115

# 7
# Ba2CdSnPb6

A relaxed Ba2CdSnPb6 crystal (GGA-PBE, Alexandria via LeMat-Bulk).

```
Ba2CdSnPb6
1.0
3.828 2.210 14.858
-3.828 2.210 14.858
0.000 -4.421 14.858
Ba Cd Sn Pb
4 2 2 12
Direct
0.117 0.117 0.117
0.291 0.291 0.291
0.709 0.709 0.709
0.883 0.883 0.883
0.000 0.000 0.000
0.500 0.500 0.500
0.427 0.427 0.427
0.573 0.573 0.573
0.069 0.661 0.661
0.230 0.230 0.654
0.230 0.654 0.230
0.339 0.339 0.931
0.339 0.931 0.339
0.346 0.770 0.770
0.654 0.230 0.230
0.661 0.069 0.661
0.661 0.661 0.069
0.770 0.346 0.770
0.770 0.770 0.346
0.931 0.339 0.339
```

Values from the calculation:
Formation enthalpy at 0 K: -1.48 eV per formula unit
DOS(E_F): 3.8 states/eV/f.u.
Symmetry: No. 166

# 8
# Ba2Cd3SnPb4

A relaxed Ba2Cd3SnPb4 crystal (GGA-PBE, Alexandria via LeMat-Bulk).

```
Ba2Cd3SnPb4
1.0
5.349 0.000 0.000
0.000 5.349 0.000
0.000 0.000 11.715
Ba Cd Sn Pb
2 3 1 4
Direct
0.000 0.500 0.244
0.500 0.000 0.756
0.000 0.000 0.000
0.000 0.500 0.625
0.500 0.000 0.375
0.500 0.500 0.000
0.000 0.000 0.500
0.000 0.500 0.873
0.500 0.000 0.127
0.500 0.500 0.500
```

Values from the calculation:
Formation enthalpy at 0 K: -2.82 eV per formula unit
DOS(E_F): 6.1 states/eV/f.u.
Symmetry: No. 115

# 9
# Ba2Cd4SnPb3

A relaxed Ba2Cd4SnPb3 crystal (GGA-PBE, Alexandria via LeMat-Bulk).

```
Ba2Cd4SnPb3
1.0
5.023 0.000 0.000
0.000 5.023 0.000
0.000 0.000 12.574
Ba Cd Sn Pb
2 4 1 3
Direct
0.000 0.500 0.248
0.500 0.000 0.752
0.000 0.000 0.000
0.000 0.500 0.634
0.500 0.000 0.366
0.500 0.500 0.000
0.000 0.000 0.500
0.000 0.500 0.865
0.500 0.000 0.135
0.500 0.500 0.500
```

Values from the calculation:
Formation enthalpy at 0 K: -3.29 eV per formula unit
DOS(E_F): 2.4 states/eV/f.u.
Symmetry: No. 115

# 10
# BaSr2Cd2Pb2

A relaxed BaSr2Cd2Pb2 crystal (GGA-PBE, Alexandria via LeMat-Bulk).

```
BaSr2Cd2Pb2
1.0
2.668 1.541 9.920
-2.668 1.541 9.920
0.000 -3.081 9.920
Ba Sr Cd Pb
1 2 2 2
Direct
0.000 0.000 0.000
0.136 0.136 0.136
0.864 0.864 0.864
0.438 0.438 0.438
0.562 0.562 0.562
0.259 0.259 0.259
0.741 0.741 0.741
```

Values from the calculation:
Formation enthalpy at 0 K: -2.69 eV per formula unit
DOS(E_F): 1.7 states/eV/f.u.
Symmetry: No. 166

# 11
# Ba2SrCdPb

A relaxed Ba2SrCdPb crystal (GGA-PBE, Alexandria via LeMat-Bulk).

```
Ba2SrCdPb
1.0
6.622 0.000 0.000
0.000 6.622 0.000
0.000 0.000 5.775
Ba Sr Cd Pb
2 1 1 1
Direct
0.000 0.500 0.000
0.500 0.000 0.000
0.000 0.000 0.500
0.500 0.500 0.000
0.500 0.500 0.500
```

Values from the calculation:
Formation enthalpy at 0 K: -0.11 eV per formula unit
DOS(E_F): 3.5 states/eV/f.u.
Symmetry: No. 123

# 12
# BaTaCdPb2

A relaxed BaTaCdPb2 crystal (GGA-PBE, Alexandria via LeMat-Bulk).

```
BaTaCdPb2
1.0
6.214 0.000 0.000
0.000 6.214 0.000
0.000 0.000 5.423
Ba Ta Cd Pb
1 1 1 2
Direct
0.000 0.000 0.000
0.000 0.000 0.500
0.500 0.500 0.500
0.000 0.500 0.000
0.500 0.000 0.000
```

Values from the calculation:
Formation enthalpy at 0 K: 8.91 eV per formula unit
DOS(E_F): 4.9 states/eV/f.u.
Symmetry: No. 123